Record 1
Entry from Alexandria: a relaxed CuRe3Bi crystal (PBE).

Properties
DOS(E_F) = 7.05 states/eV per cell
Crystal system = cubic
Energy of formation = 9.8 eV per formula unit
Electronic total energy = -35.53 eV for the cell shown
Magnetization = 2.83 μB per formula unit

Lattice parameters (Å, degrees): 4.575 4.575 4.575 90.00 90.00 90.00
Atoms (fractional coordinates):
Cu (0.000, 0.000, 0.000)
Re (0.000, 0.000, 0.500)
Re (0.000, 0.500, 0.000)
Re (0.500, 0.000, 0.000)
Bi (0.500, 0.500, 0.500)


Record 2
Entry from Alexandria: a relaxed YAlNi crystal (PBE).

Properties
DOS(E_F) = 4.02 states/eV per cell
Crystal system = cubic
Energy of formation = -1.0 eV per formula unit
Electronic total energy = -17.00 eV for the cell shown
Magnetization = 0.00 μB per formula unit

Lattice parameters (Å, degrees): 4.434 4.434 4.434 60.00 60.00 60.00
Atoms (fractional coordinates):
Y (0.000, 0.000, 0.000)
Al (0.500, 0.500, 0.500)
Ni (0.750, 0.750, 0.750)


Record 3
Entry from Alexandria: a relaxed BaZn2Si crystal (PBE).

Properties
DOS(E_F) = 2.40 states/eV per cell
Formation energy (no corrections) = -0.17 eV per atom
Crystal system = monoclinic
Electronic total energy = -10.58 eV for the cell shown
Magnetization = 0.00 μB per formula unit

Lattice parameters (Å, degrees): 4.298 4.298 6.598 109.02 109.02 60.17
Atoms (fractional coordinates):
Ba (0.000, 0.000, 0.000)
Zn (0.512, 0.512, 0.534)
Zn (0.795, 0.795, 0.385)
Si (0.207, 0.207, 0.622)


Record 4
Entry from Alexandria: a relaxed Cs3MgPb2Cl9 crystal (PBE).

Properties
DOS(E_F) = 0.00 states/eV per cell
Formation energy (no corrections) = -1.66 eV per atom
Crystal system = trigonal
Electronic total energy = -53.06 eV for the cell shown
Magnetization = 0.00 μB per formula unit

Lattice parameters (Å, degrees): 7.798 7.798 9.555 90.00 90.00 120.00
Atoms (fractional coordinates):
Cs (0.000, 0.000, 0.000)
Cs (0.333, 0.667, 0.663)
Cs (0.667, 0.333, 0.337)
Mg (0.000, 0.000, 0.500)
Pb (0.333, 0.667, 0.182)
Pb (0.667, 0.333, 0.818)
Cl (0.000, 0.500, 0.000)
Cl (0.154, 0.308, 0.347)
Cl (0.154, 0.846, 0.347)
Cl (0.308, 0.154, 0.653)
Cl (0.500, 0.000, 0.000)
Cl (0.500, 0.500, 0.000)
Cl (0.692, 0.846, 0.347)
Cl (0.846, 0.154, 0.653)
Cl (0.846, 0.692, 0.653)


Record 5
Entry from Alexandria: a relaxed AsOs2Se crystal (PBE).

Properties
DOS(E_F) = 3.70 states/eV per cell
Formation energy (no corrections) = 0.78 eV per atom
Crystal system = monoclinic
Electronic total energy = -27.48 eV for the cell shown
Magnetization = 0.00 μB per formula unit

Lattice parameters (Å, degrees): 2.834 3.900 6.390 90.00 100.70 90.00
Atoms (fractional coordinates):
As (0.000, 0.000, 0.000)
Os (0.345, 0.500, 0.190)
Os (0.655, 0.500, 0.810)
Se (0.500, 0.000, 0.500)


Record 6
Entry from Alexandria: a relaxed KSb4W crystal (PBE).

Properties
DOS(E_F) = 3.09 states/eV per cell
Formation energy (no corrections) = 0.89 eV per atom
Crystal system = cubic
Electronic total energy = -25.21 eV for the cell shown
Magnetization = 4.76 μB per formula unit

Lattice parameters (Å, degrees): 6.299 6.299 6.299 60.00 60.00 60.00
Atoms (fractional coordinates):
K (0.000, 0.000, 0.000)
Sb (0.127, 0.624, 0.624)
Sb (0.624, 0.127, 0.624)
Sb (0.624, 0.624, 0.127)
Sb (0.624, 0.624, 0.624)
W (0.250, 0.250, 0.250)


Record 7
Entry from Alexandria: a relaxed SmGaTe2 crystal (PBE).

Properties
Formation energy (no corrections) = -0.99 eV per atom
Crystal system = monoclinic
Electronic total energy = -35.96 eV for the cell shown
Magnetization = 0.00 μB per formula unit

Lattice parameters (Å, degrees): 6.217 4.434 8.756 90.00 110.42 90.00
Atoms (fractional coordinates):
Sm (0.131, 0.250, 0.291)
Sm (0.869, 0.750, 0.709)
Ga (0.259, 0.250, 0.810)
Ga (0.741, 0.750, 0.190)
Te (0.270, 0.750, 0.073)
Te (0.296, 0.750, 0.573)
Te (0.704, 0.250, 0.427)
Te (0.730, 0.250, 0.927)


Record 8
Entry from Alexandria: a relaxed LaHgI crystal (PBE).

Properties
DOS(E_F) = 1.69 states/eV per cell
Formation energy (no corrections) = -0.76 eV per atom
Crystal system = monoclinic
Electronic total energy = -18.15 eV for the cell shown
Magnetization = 0.00 μB per formula unit

Lattice parameters (Å, degrees): 5.631 5.631 6.794 90.51 90.51 59.76
Atoms (fractional coordinates):
La (0.000, 0.000, 0.000)
La (0.673, 0.673, 0.516)
Hg (0.335, 0.335, 0.188)
Hg (0.669, 0.669, 0.037)
I (0.006, 0.006, 0.478)
I (0.342, 0.342, 0.697)


Record 9
Entry from Alexandria: a relaxed TbNbOs4 crystal (PBE).

Properties
DOS(E_F) = 3.90 states/eV per cell
Crystal system = cubic
Energy of formation = -0.4 eV per formula unit
Electronic total energy = -60.06 eV for the cell shown
Magnetization = 0.00 μB per formula unit

Lattice parameters (Å, degrees): 5.262 5.262 5.262 60.00 60.00 60.00
Atoms (fractional coordinates):
Tb (0.000, 0.000, 0.000)
Nb (0.250, 0.250, 0.250)
Os (0.124, 0.625, 0.625)
Os (0.625, 0.124, 0.625)
Os (0.625, 0.625, 0.124)
Os (0.625, 0.625, 0.625)


Record 10
Entry from Alexandria: a relaxed TbPuGe2 crystal (PBE).

Properties
DOS(E_F) = 10.68 states/eV per cell
Crystal system = orthorhombic
Energy of formation = -2.5 eV per formula unit
Electronic total energy = -30.69 eV for the cell shown
Magnetization = 6.05 μB per formula unit

Lattice parameters (Å, degrees): 3.954 5.863 5.863 43.68 90.00 90.00
Atoms (fractional coordinates):
Tb (0.000, 0.000, 0.000)
Pu (0.500, 0.281, 0.281)
Ge (0.000, 0.720, 0.720)
Ge (0.500, 0.558, 0.558)


Record 11
Entry from Alexandria: a relaxed ZrPtIO2 crystal (PBE).

Properties
DOS(E_F) = 4.04 states/eV per cell
Formation energy (no corrections) = -1.20 eV per atom
Crystal system = tetragonal
Electronic total energy = -32.06 eV for the cell shown
Magnetization = 0.23 μB per formula unit

Lattice parameters (Å, degrees): 4.016 4.016 6.614 90.00 90.00 90.00
Atoms (fractional coordinates):
Zr (0.000, 0.000, 0.000)
Pt (0.500, 0.500, 0.500)
I (0.000, 0.000, 0.500)
O (0.000, 0.500, 0.000)
O (0.500, 0.000, 0.000)


Record 12
Entry from Alexandria: a relaxed CaLa2Tb3Nd6 crystal (PBE).

Properties
DOS(E_F) = 15.93 states/eV per cell
Crystal system = monoclinic
Energy of formation = 0.4 eV per formula unit
Electronic total energy = -53.99 eV for the cell shown
Magnetization = 0.00 μB per formula unit

Lattice parameters (Å, degrees): 6.375 6.375 12.142 95.02 95.02 120.03
Atoms (fractional coordinates):
Ca (0.000, 0.000, 0.000)
La (0.333, 0.667, 0.000)
La (0.667, 0.333, 0.000)
Tb (0.166, 0.834, 0.500)
Tb (0.500, 0.500, 0.500)
Tb (0.834, 0.166, 0.500)
Nd (0.086, 0.424, 0.257)
Nd (0.251, 0.251, 0.742)
Nd (0.424, 0.086, 0.257)
Nd (0.576, 0.914, 0.743)
Nd (0.749, 0.749, 0.258)
Nd (0.914, 0.576, 0.743)


Record 13
Entry from Alexandria: a relaxed LiSm2DyHg4 crystal (PBE).

Properties
DOS(E_F) = 7.68 states/eV per cell
Crystal system = trigonal
Energy of formation = -3.7 eV per formula unit
Electronic total energy = -20.81 eV for the cell shown
Magnetization = 0.00 μB per formula unit

Lattice parameters (Å, degrees): 9.120 9.120 9.120 33.21 33.21 33.21
Atoms (fractional coordinates):
Li (0.000, 0.000, 0.000)
Sm (0.255, 0.255, 0.255)
Sm (0.745, 0.745, 0.745)
Dy (0.500, 0.500, 0.500)
Hg (0.125, 0.125, 0.125)
Hg (0.375, 0.375, 0.375)
Hg (0.625, 0.625, 0.625)
Hg (0.875, 0.875, 0.875)


Record 14
Entry from Alexandria: a relaxed Ce2PrPd crystal (PBE).

Properties
DOS(E_F) = 11.20 states/eV per cell
Crystal system = trigonal
Energy of formation = -0.2 eV per formula unit
Electronic total energy = -22.08 eV for the cell shown
Magnetization = 1.28 μB per formula unit

Lattice parameters (Å, degrees): 5.465 5.465 5.465 54.84 54.84 54.84
Atoms (fractional coordinates):
Ce (0.248, 0.248, 0.248)
Ce (0.752, 0.752, 0.752)
Pr (0.000, 0.000, 0.000)
Pd (0.500, 0.500, 0.500)


Record 15
Entry from Alexandria: a relaxed Ca2OsBr crystal (PBE).

Properties
DOS(E_F) = 6.16 states/eV per cell
Formation energy (no corrections) = 0.49 eV per atom
Crystal system = cubic
Electronic total energy = -14.93 eV for the cell shown
Magnetization = 0.46 μB per formula unit

Lattice parameters (Å, degrees): 5.024 5.024 5.024 60.00 60.00 60.00
Atoms (fractional coordinates):
Ca (0.000, 0.000, 0.000)
Ca (0.250, 0.250, 0.250)
Os (0.750, 0.750, 0.750)
Br (0.500, 0.500, 0.500)


Record 16
Entry from Alexandria: a relaxed KDyMnI6 crystal (PBE).

Properties
DOS(E_F) = 0.00 states/eV per cell
Formation energy (no corrections) = -1.09 eV per atom
Crystal system = trigonal
Electronic total energy = -67.88 eV for the cell shown
Magnetization = 5.00 μB per formula unit

Lattice parameters (Å, degrees): 7.698 7.698 15.743 90.00 90.00 120.00
Atoms (fractional coordinates):
K (0.000, 0.000, 0.000)
K (0.000, 0.000, 0.500)
Dy (0.333, 0.667, 0.250)
Dy (0.667, 0.333, 0.750)
Mn (0.333, 0.667, 0.750)
Mn (0.667, 0.333, 0.250)
I (0.011, 0.374, 0.641)
I (0.011, 0.637, 0.859)
I (0.363, 0.374, 0.859)
I (0.363, 0.989, 0.641)
I (0.374, 0.011, 0.141)
I (0.374, 0.363, 0.359)
I (0.626, 0.637, 0.641)
I (0.626, 0.989, 0.859)
I (0.637, 0.011, 0.359)
I (0.637, 0.626, 0.141)
I (0.989, 0.363, 0.141)
I (0.989, 0.626, 0.359)


Record 17
Entry from Alexandria: a relaxed CaRh4O8 crystal (PBE).

Properties
DOS(E_F) = 7.05 states/eV per cell
Formation energy (no corrections) = -1.06 eV per atom
Crystal system = trigonal
Electronic total energy = -84.91 eV for the cell shown
Magnetization = 0.00 μB per formula unit

Lattice parameters (Å, degrees): 6.411 6.411 6.411 58.02 58.02 58.02
Atoms (fractional coordinates):
Ca (0.000, 0.000, 0.000)
Rh (0.000, 0.000, 0.500)
Rh (0.000, 0.500, 0.000)
Rh (0.500, 0.000, 0.000)
Rh (0.500, 0.500, 0.500)
O (0.223, 0.223, 0.223)
O (0.230, 0.731, 0.731)
O (0.269, 0.269, 0.770)
O (0.269, 0.770, 0.269)
O (0.731, 0.230, 0.731)
O (0.731, 0.731, 0.230)
O (0.770, 0.269, 0.269)
O (0.777, 0.777, 0.777)


Record 18
Entry from Alexandria: a relaxed Ac3TlP crystal (PBE).

Properties
DOS(E_F) = 18.39 states/eV per cell
Crystal system = orthorhombic
Energy of formation = -3.5 eV per formula unit
Electronic total energy = -94.56 eV for the cell shown
Magnetization = 0.00 μB per formula unit

Lattice parameters (Å, degrees): 9.941 4.314 17.176 90.00 90.00 90.00
Atoms (fractional coordinates):
Ac (0.018, 0.250, 0.108)
Ac (0.164, 0.750, 0.307)
Ac (0.165, 0.250, 0.532)
Ac (0.335, 0.750, 0.032)
Ac (0.336, 0.250, 0.807)
Ac (0.482, 0.750, 0.608)
Ac (0.518, 0.250, 0.392)
Ac (0.664, 0.750, 0.193)
Ac (0.665, 0.250, 0.968)
Ac (0.835, 0.750, 0.468)
Ac (0.836, 0.250, 0.693)
Ac (0.982, 0.750, 0.892)
Tl (0.129, 0.750, 0.696)
Tl (0.371, 0.250, 0.196)
Tl (0.629, 0.750, 0.804)
Tl (0.871, 0.250, 0.304)
P (0.172, 0.250, 0.953)
P (0.328, 0.750, 0.453)
P (0.672, 0.250, 0.547)
P (0.828, 0.750, 0.047)


Record 19
Entry from Alexandria: a relaxed YHg2SBr crystal (PBE).

Properties
DOS(E_F) = 2.66 states/eV per cell
Formation energy (no corrections) = 0.28 eV per atom
Crystal system = tetragonal
Electronic total energy = -11.47 eV for the cell shown
Magnetization = 0.00 μB per formula unit

Lattice parameters (Å, degrees): 5.632 5.632 5.375 90.00 90.00 90.00
Atoms (fractional coordinates):
Y (0.000, 0.000, 0.000)
Hg (0.000, 0.500, 0.500)
Hg (0.500, 0.000, 0.500)
S (0.500, 0.500, 0.000)
Br (0.000, 0.000, 0.500)


Record 20
Entry from Alexandria: a relaxed InPbCl4 crystal (PBE).

Properties
DOS(E_F) = 4.78 states/eV per cell
Formation energy (no corrections) = -0.97 eV per atom
Crystal system = monoclinic
Electronic total energy = -39.31 eV for the cell shown
Magnetization = 0.00 μB per formula unit

Lattice parameters (Å, degrees): 8.690 8.690 6.994 110.47 110.47 115.54
Atoms (fractional coordinates):
In (0.164, 0.836, 0.750)
In (0.836, 0.164, 0.250)
Pb (0.398, 0.602, 0.250)
Pb (0.602, 0.398, 0.750)
Cl (0.052, 0.485, 0.756)
Cl (0.230, 0.298, 0.360)
Cl (0.298, 0.230, 0.860)
Cl (0.485, 0.052, 0.256)
Cl (0.515, 0.948, 0.744)
Cl (0.702, 0.770, 0.140)
Cl (0.770, 0.702, 0.640)
Cl (0.948, 0.515, 0.244)